A plane-wave DFT calculation with PBE+U was carried out for FeTcGeO6 after structural relaxation.

Structure (POSCAR):
```
FeTcGeO6
1.0
5.015 0.000 0.000
-2.508 4.343 0.000
0.000 0.000 8.793
Fe Tc Ge O
2 2 2 12
direct
0.000 0.000 0.000
0.000 0.000 0.500
0.333 0.667 0.250
0.667 0.333 0.750
0.333 0.667 0.750
0.667 0.333 0.250
0.007 0.349 0.631
0.007 0.658 0.869
0.342 0.349 0.869
0.342 0.993 0.631
0.349 0.007 0.131
0.349 0.342 0.369
0.651 0.658 0.631
0.651 0.993 0.869
0.658 0.007 0.369
0.658 0.651 0.131
0.993 0.342 0.131
0.993 0.651 0.369
```

Crystal system   trigonal
M_tot   3.0 μB/f.u.
Total DFT energy (no corrections)   -125.6 eV/cell